w.
Below is an optimized crystal structure of K2ZnHg, with properties calculated at the PBE level.

Properties
Its density of states at the Fermi level is 0.541 states/eV per atom. The value obtained for the magnetic moment is 0.00 μB/f.u. For the calculated volume, the calculation gives 38.72 A^3/atom.

Cell lengths 5.0772, 4.9352, 6.6780 Å; angles 90.00, 112.23, 90.00 degrees
Space group Pm (No. 6)
Unique sites:
K: 0.0000 0.0000 0.0000 x1
K: 0.2974 0.5000 0.5958 x1
Zn: 0.6984 0.0000 0.3983 x1
Hg: 0.5973 0.5000 0.1941 x1

=====

x.
Below is an optimized crystal structure of K2ZnHg, with properties calculated at the PBE level.

Properties
Its density of states at the Fermi level is 0.672 states/eV per atom. The value obtained for the magnetic moment is 0.00 μB/f.u. For the calculated volume, the calculation gives 33.82 A^3/atom.

Cell lengths 8.1486, 8.1486, 8.1486 Å; angles 90.00, 90.00, 90.00 degrees
Space group F-43m (No. 216)
Unique sites:
K: 0.0000 0.0000 0.0000 x4
K: 0.2500 0.2500 0.2500 x4
Zn: 0.0000 0.0000 0.5000 x4
Hg: 0.2500 0.2500 0.7500 x4

=====

y.
Below is an optimized crystal structure of K2ZnHg, with properties calculated at the PBE level.

Properties
Its density of states at the Fermi level is 0.439 states/eV per atom. The value obtained for the magnetic moment is 0.00 μB/f.u. For the calculated volume, the calculation gives 38.49 A^3/atom.

Cell lengths 5.6351, 5.6586, 9.6564 Å; angles 90.00, 90.00, 90.00 degrees
Space group Cmm2 (No. 35)
Unique sites:
K: 0.0000 0.0000 0.0000 x2
K: 0.0000 0.5000 0.4065 x2
Zn: 0.0000 0.5000 0.7527 x2
Hg: 0.0000 0.0000 0.6504 x2

=====

w is preferred energetically. Next in line: 0.065 eV/atom higher.

=====

w.
Below is an optimized crystal structure of K2ZnHg, with properties calculated at the PBE level.

Properties
Its density of states at the Fermi level is 0.601 states/eV per atom. The value obtained for the magnetic moment is 0.00 μB/f.u. For the calculated volume, the calculation gives 35.54 A^3/atom.

Cell lengths 10.7316, 8.4769, 6.2499 Å; angles 90.00, 90.00, 90.00 degrees
Space group Cmcm (No. 63)
Unique sites:
K: 0.1764 0.1483 0.2500 x8
Zn: 0.0000 0.5000 0.0000 x4
Hg: 0.0000 0.2288 0.7500 x4

=====

x.
Below is an optimized crystal structure of K2ZnHg, with properties calculated at the PBE level.

Properties
Its density of states at the Fermi level is 0.754 states/eV per atom. The value obtained for the magnetic moment is 0.00 μB/f.u. For the calculated volume, the calculation gives 38.69 A^3/atom.

Cell lengths 9.4501, 9.4501, 6.9323 Å; angles 90.00, 90.00, 90.00 degrees
Space group I-42d (No. 122)
Unique sites:
K: 0.2442 0.7500 0.1250 x8
Zn: 0.0000 0.0000 0.0000 x4
Hg: 0.0000 0.0000 0.5000 x4

=====

y.
Below is an optimized crystal structure of K2ZnHg, with properties calculated at the PBE level.

Properties
Its density of states at the Fermi level is 0.844 states/eV per atom. The value obtained for the magnetic moment is 0.00 μB/f.u. For the calculated volume, the calculation gives 37.41 A^3/atom.

Cell lengths 8.4274, 8.4274, 8.4274 Å; angles 90.00, 90.00, 90.00 degrees
Space group Fm-3m (No. 225)
Unique sites:
K: 0.2500 0.2500 0.2500 x8
Zn: 0.0000 0.0000 0.0000 x4
Hg: 0.0000 0.0000 0.5000 x4

=====

w is preferred energetically. Next in line: 0.077 eV/atom higher.

=====

w.
Below is an optimized crystal structure of KZn2Hg2, with properties calculated at the PBE level.

Properties
Its density of states at the Fermi level is 0.289 states/eV per atom. The value obtained for the magnetic moment is 0.00 μB/f.u. For the calculated volume, the calculation gives 24.57 A^3/atom.

Cell lengths 8.4563, 8.4563, 3.4366 Å; angles 90.00, 90.00, 90.00 degrees
Space group P4/mbm (No. 127)
Unique sites:
K: 0.0000 0.0000 0.0000 x2
Zn: 0.1102 0.3898 0.0000 x4
Hg: 0.1829 0.6829 0.5000 x4

=====

x.
Below is an optimized crystal structure of KZn2Hg2, with properties calculated at the PBE level.

Properties
Its density of states at the Fermi level is 0.424 states/eV per atom. The value obtained for the magnetic moment is 0.00 μB/f.u. For the calculated volume, the calculation gives 26.01 A^3/atom.

Cell lengths 5.0326, 5.0326, 10.2694 Å; angles 90.00, 90.00, 90.00 degrees
Space group I4/mmm (No. 139)
Unique sites:
K: 0.0000 0.0000 0.0000 x2
Zn: 0.0000 0.0000 0.3755 x4
Hg: 0.0000 0.5000 0.2500 x4

=====

y.
Below is an optimized crystal structure of KZn2Hg2, with properties calculated at the PBE level.

Properties
Its density of states at the Fermi level is 0.461 states/eV per atom. The value obtained for the magnetic moment is 0.00 μB/f.u. For the calculated volume, the calculation gives 25.00 A^3/atom.

Cell lengths 8.6813, 8.6813, 3.3173 Å; angles 90.00, 90.00, 90.00 degrees
Space group P4/mbm (No. 127)
Unique sites:
K: 0.0000 0.0000 0.0000 x2
Zn: 0.1512 0.3488 0.5000 x4
Hg: 0.1418 0.6418 0.0000 x4

=====

x is preferred energetically. Next in line: 0.067 eV/atom higher.

=====

w.
Below is an optimized crystal structure of K3ZrHg, with properties calculated at the PBE level.

Properties
Its density of states at the Fermi level is 2.018 states/eV per atom. The value obtained for the magnetic moment is 3.59 μB/f.u. For the calculated volume, the calculation gives 53.05 A^3/atom.

Cell lengths 6.4254, 6.4254, 6.4254 Å; angles 90.00, 90.00, 90.00 degrees
Space group Pm-3m (No. 221)
Unique sites:
K: 0.0000 0.0000 0.5000 x3
Zr: 0.5000 0.5000 0.5000 x1
Hg: 0.0000 0.0000 0.0000 x1

=====

x.
Below is an optimized crystal structure of K3ZrHg, with properties calculated at the PBE level.

Properties
Its density of states at the Fermi level is 0.143 states/eV per atom. The value obtained for the magnetic moment is 5.00 μB/f.u. For the calculated volume, the calculation gives 65.50 A^3/atom.

Cell lengths 6.8929, 6.8929, 6.8929 Å; angles 90.00, 90.00, 90.00 degrees
Space group Pm-3m (No. 221)
Unique sites:
K: 0.0000 0.0000 0.5000 x3
Zr: 0.0000 0.0000 0.0000 x1
Hg: 0.5000 0.5000 0.5000 x1

=====

w is preferred energetically. Next in line: 0.101 eV/atom higher.

=====

w.
Below is an optimized crystal structure of K2ZrHg2, with properties calculated at the PBE level.

Properties
Its density of states at the Fermi level is 0.808 states/eV per atom. The value obtained for the magnetic moment is 0.00 μB/f.u. For the calculated volume, the calculation gives 30.09 A^3/atom.

Cell lengths 9.7652, 9.7652, 3.1550 Å; angles 90.00, 90.00, 90.00 degrees
Space group P4/mbm (No. 127)
Unique sites:
K: 0.1243 0.3757 0.0000 x4
Zr: 0.0000 0.0000 0.0000 x2
Hg: 0.1782 0.6782 0.5000 x4

=====

x.
Below is an optimized crystal structure of K2ZrHg2, with properties calculated at the PBE level.

Properties
Its density of states at the Fermi level is 0.846 states/eV per atom. The value obtained for the magnetic moment is 2.90 μB/f.u. For the calculated volume, the calculation gives 38.58 A^3/atom.

Cell lengths 4.0357, 4.0357, 23.6881 Å; angles 90.00, 90.00, 90.00 degrees
Space group I4/mmm (No. 139)
Unique sites:
K: 0.0000 0.0000 0.1180 x4
Zr: 0.0000 0.0000 0.5000 x2
Hg: 0.0000 0.5000 0.2500 x4

=====

w is preferred energetically. Next in line: 0.099 eV/atom higher.

=====

w.
Below is an optimized crystal structure of KZr2Hg2, with properties calculated at the PBE level.

Properties
Its density of states at the Fermi level is 1.144 states/eV per atom. The value obtained for the magnetic moment is 1.17 μB/f.u. For the calculated volume, the calculation gives 30.00 A^3/atom.

Cell lengths 5.3745, 5.3745, 10.3855 Å; angles 90.00, 90.00, 90.00 degrees
Space group I4/mmm (No. 139)
Unique sites:
K: 0.0000 0.0000 0.0000 x2
Zr: 0.0000 0.0000 0.3532 x4
Hg: 0.0000 0.5000 0.2500 x4

=====

x.
Below is an optimized crystal structure of KZr2Hg2, with properties calculated at the PBE level.

Properties
Its density of states at the Fermi level is 1.016 states/eV per atom. The value obtained for the magnetic moment is 0.29 μB/f.u. For the calculated volume, the calculation gives 25.29 A^3/atom.

Cell lengths 9.0619, 9.0619, 3.0794 Å; angles 90.00, 90.00, 90.00 degrees
Space group P4/mbm (No. 127)
Unique sites:
K: 0.0000 0.0000 0.0000 x2
Zr: 0.1187 0.3813 0.0000 x4
Hg: 0.1758 0.6758 0.5000 x4

=====

x is preferred energetically. Next in line: 0.374 eV/atom higher.